Entry from Alexandria: an optimized crystal structure of ZrFeAg (GGA-PBE).

Cell: 4.355 4.355 4.355 Å, 60.00 60.00 60.00°
Sites, in units of the cell vectors:
Zr1 0.000 0.000 0.000
Fe1 0.750 0.750 0.750
Ag1 0.500 0.500 0.500

Output
- VASP energy (eV per formula unit) = -18.46
- ρ (g/cm3) = 7.2
- size of the total moment (μB per formula unit) = 0.88